Zn2TcCl PBE optimized geometry; symmetry = R-3m (166); total magnetization = 0.17 μB per atom; total DFT energy (no corrections) = -3.613 eV/atom
1.0
1.5345 0.8859 8.0059
-1.5345 0.8859 8.0059
0.0000 -1.7719 8.0059
Zn Tc Cl
2 1 1
Direct
0.2483 0.2483 0.2483 Zn
0.7517 0.7517 0.7517 Zn
0.5000 0.5000 0.5000 Tc
0.0000 0.0000 0.0000 Cl